VASP calculation (PBE) on a relaxed SrSc4Cu crystal.

V (Å³/cell): 163.4
E_tot (eV per formula unit): -28.04
Fermi-level density of states (states/eV/atom): 1.991

a b c (Å): 6.1367 6.1367 6.1367
angles (deg): 60.00 60.00 60.00
With the nearest neighbours (Å) after each atom.
Positions (direct):
1 Sr 0.0000 0.0000 0.0000  12 Sc 3.60, 4 Cu 3.76
2 Sc 0.3765 0.3765 0.3765  6 Sc 3.03-3.11
3 Sc 0.3765 0.3765 0.8705  6 Sc 3.03-3.11
4 Sc 0.3765 0.8705 0.3765  6 Sc 3.03-3.11
5 Sc 0.8705 0.3765 0.3765  6 Sc 3.03-3.11
6 Cu 0.7500 0.7500 0.7500  12 Sc 3.59, 4 Sr 3.76